# meta-GGA SCAN Al2ZnAg, PBEsol geometry
data_Al2ZnAg
_cell_length_a 2.9311
_cell_length_b 2.9311
_cell_length_c 25.4776
_cell_angle_alpha 90.00
_cell_angle_beta 90.00
_cell_angle_gamma 120.00
_space_group_name_H-M_alt 'R -3 m'
_space_group_IT_number 166
_space_group_name_Hall '-R 3 2"'
loop_
_atom_site_label
_atom_site_type_symbol
_atom_site_fract_x
_atom_site_fract_y
_atom_site_fract_z
Al1 Al 0.0000 0.0000 0.2486
Zn1 Zn 0.0000 0.0000 0.5000
Ag1 Ag 0.0000 0.0000 0.0000
# **DFT total energy**: -15.156 eV/atom
# **Formation energy from the elements**: -60 meV/atom

=====

# meta-GGA SCAN AlZnAg2, PBEsol geometry
data_AlZnAg2
_cell_length_a 4.425
_cell_length_b 4.425
_cell_length_c 3.142
_cell_angle_alpha 90.00
_cell_angle_beta 90.00
_cell_angle_gamma 90.00
_space_group_name_H-M_alt 'P 4/m m m'
_space_group_IT_number 123
_space_group_name_Hall '-P 4 2'
loop_
_atom_site_label
_atom_site_type_symbol
_atom_site_fract_x
_atom_site_fract_y
_atom_site_fract_z
Al1 Al 0.000 0.000 0.000
Zn1 Zn 0.500 0.500 0.000
Ag1 Ag 0.000 0.500 0.500
# **DFT total energy**: -21.078 eV/atom
# **Formation energy from the elements**: -77 meV/atom

=====

# meta-GGA SCAN Zr2AlAg, PBEsol geometry
data_Zr2AlAg
_cell_length_a 4.274
_cell_length_b 4.274
_cell_length_c 8.263
_cell_angle_alpha 90.00
_cell_angle_beta 90.00
_cell_angle_gamma 90.00
_space_group_name_H-M_alt 'I 4/m m m'
_space_group_IT_number 139
_space_group_name_Hall '-I 4 2'
loop_
_atom_site_label
_atom_site_type_symbol
_atom_site_fract_x
_atom_site_fract_y
_atom_site_fract_z
Zr1 Zr 0.000 0.500 0.250
Al1 Al 0.000 0.000 0.000
Ag1 Ag 0.000 0.000 0.500
# **DFT total energy**: -25.413 eV/atom
# **Formation energy from the elements**: -284 meV/atom

=====

# meta-GGA SCAN ZrAlAg2, PBEsol geometry
data_ZrAlAg2
_cell_length_a 4.138
_cell_length_b 4.138
_cell_length_c 4.172
_cell_angle_alpha 90.00
_cell_angle_beta 90.00
_cell_angle_gamma 90.00
_space_group_name_H-M_alt 'P 4/m m m'
_space_group_IT_number 123
_space_group_name_Hall '-P 4 2'
loop_
_atom_site_label
_atom_site_type_symbol
_atom_site_fract_x
_atom_site_fract_y
_atom_site_fract_z
Zr1 Zr 0.000 0.000 0.000
Al1 Al 0.500 0.500 0.000
Ag1 Ag 0.000 0.500 0.500
# **DFT total energy**: -25.415 eV/atom
# **Formation energy from the elements**: -119 meV/atom